Density functional theory data (meta-GGA SCAN) for LaCd2Ir at its PBEsol-relaxed geometry.

Values from the calculation:
Its total magnetization is 0.0 μB/f.u. The calculation puts the volume at 22.89 Å³/atom. Its energy of formation from the pure elements is -105 meV/atom.

a = 4.0522 Å, b = 4.0523 Å, c = 6.2628 Å
α = 108.71°, β = 108.71°, γ = 90.50°
Atoms (fractional coordinates):
Cd (0.5000, 0.0000, 0.5000)
Cd (0.0000, 0.5000, 0.5000)
Ir (0.0000, 0.0000, 0.0000)
La (0.5000, 0.5000, 0.0000)

Density functional theory data (meta-GGA SCAN) for CaSi2Ir at its PBEsol-relaxed geometry.

Values from the calculation:
Its total magnetization is 0.0 μB/f.u. The calculation puts the volume at 18.02 Å³/atom. The energy relative to the elements, uncorrected is -0.73 eV per atom.

a = 4.0425 Å, b = 4.0425 Å, c = 5.6020 Å
α = 68.85°, β = 68.85°, γ = 60.00°
Atoms (fractional coordinates):
Ca (0.5000, 0.5000, 0.5000)
Ir (0.0000, 0.0000, 0.0000)
Si (0.2886, 0.2886, 0.1343)
Si (0.7114, 0.7114, 0.8657)

Density functional theory data (meta-GGA SCAN) for NdPbAu2 at its PBEsol-relaxed geometry.

Values from the calculation:
Its total magnetization is 0.0 μB/f.u. The calculation puts the volume at 22.69 Å³/atom. Its energy of formation from the pure elements is -744 meV/atom.

a = 5.0441 Å, b = 5.0441 Å, c = 5.0441 Å
α = 60.00°, β = 60.00°, γ = 60.00°
Atoms (fractional coordinates):
Pb (0.0000, 0.0000, 0.0000)
Au (0.7500, 0.7500, 0.7500)
Au (0.2500, 0.2500, 0.2500)
Nd (0.5000, 0.5000, 0.5000)

Density functional theory data (meta-GGA SCAN) for LaTeAs at its PBEsol-relaxed geometry.

Values from the calculation:
Its total magnetization is 0.0 μB/f.u. The calculation puts the volume at 27.44 Å³/atom. The energy relative to the elements, uncorrected is -1.45 eV per atom.

a = 4.1431 Å, b = 7.7565 Å, c = 10.2448 Å
α = 90.00°, β = 90.00°, γ = 90.00°
Atoms (fractional coordinates):
As (0.7500, 0.4086, 0.5390)
As (0.2500, 0.0914, 0.0390)
As (0.2500, 0.5914, 0.4610)
As (0.7500, 0.9086, 0.9610)
Te (0.7500, 0.4050, 0.1501)
Te (0.2500, 0.0950, 0.6501)
Te (0.2500, 0.5950, 0.8499)
Te (0.7500, 0.9050, 0.3499)
La (0.7500, 0.2772, 0.8442)
La (0.2500, 0.2228, 0.3442)
La (0.2500, 0.7228, 0.1558)
La (0.7500, 0.7772, 0.6558)

Density functional theory data (meta-GGA SCAN) for CuSi2As at its PBEsol-relaxed geometry.

Values from the calculation:
The energy above the most stable polymorph in this dataset comes out at 170.3 meV/atom. Its total magnetization is 0.0 μB/f.u. The calculation puts the volume at 15.00 Å³/atom. The energy relative to the elements, uncorrected is 0.63 eV per atom.

a = 4.3945 Å, b = 4.3945 Å, c = 4.3945 Å
α = 60.00°, β = 60.00°, γ = 60.00°
Atoms (fractional coordinates):
As (0.0000, 0.0000, 0.0000)
Cu (0.5000, 0.5000, 0.5000)
Si (0.2500, 0.2500, 0.2500)
Si (0.7500, 0.7500, 0.7500)

Density functional theory data (meta-GGA SCAN) for Zr2Be2Ir at its PBEsol-relaxed geometry.

Values from the calculation:
Its total magnetization is 0.0 μB/f.u. The calculation puts the volume at 14.48 Å³/atom. Its energy of formation from the pure elements is -625 meV/atom.

a = 3.5686 Å, b = 6.3704 Å, c = 6.3704 Å
α = 90.00°, β = 90.00°, γ = 90.00°
Atoms (fractional coordinates):
Be (0.0000, 0.3800, 0.8800)
Be (0.0000, 0.8800, 0.6200)
Be (0.0000, 0.6200, 0.1200)
Be (0.0000, 0.1200, 0.3800)
Ir (0.0000, 0.0000, 0.0000)
Ir (0.0000, 0.5000, 0.5000)
Zr (0.5000, 0.1780, 0.6780)
Zr (0.5000, 0.6780, 0.8220)
Zr (0.5000, 0.8220, 0.3220)
Zr (0.5000, 0.3220, 0.1780)

Density functional theory data (meta-GGA SCAN) for Sb2BrF15 at its PBEsol-relaxed geometry.

Values from the calculation:
Its total magnetization is 0.2 μB/f.u. The calculation puts the volume at 14.89 Å³/atom. The energy relative to the elements, uncorrected is -1.87 eV per atom.

a = 5.2421 Å, b = 14.3547 Å, c = 14.2674 Å
α = 90.00°, β = 90.00°, γ = 93.24°
Atoms (fractional coordinates):
Sb (0.0906, 0.1575, 0.3585)
Sb (0.3880, 0.3155, 0.1427)
Sb (0.9094, 0.8425, 0.6415)
Sb (0.0906, 0.6575, 0.1415)
Sb (0.9094, 0.3425, 0.8585)
Sb (0.6120, 0.1845, 0.6427)
Sb (0.3880, 0.8155, 0.3573)
Sb (0.6120, 0.6845, 0.8573)
Br (0.7405, 0.4848, 0.3460)
Br (0.2595, 0.5152, 0.6540)
Br (0.2595, 0.0152, 0.8460)
Br (0.7405, 0.9848, 0.1540)
F (0.6288, 0.4169, 0.8450)
F (0.5510, 0.9043, 0.4355)
F (0.2218, 0.2384, 0.0527)
F (0.0974, 0.8828, 0.3346)
F (0.8132, 0.7332, 0.1580)
F (0.4490, 0.5957, 0.9355)
F (0.3885, 0.5831, 0.5635)
F (0.5322, 0.8778, 0.2440)
F (0.3326, 0.7610, 0.8521)
F (0.0618, 0.9117, 0.5435)
F (0.0816, 0.4268, 0.7651)
F (0.0974, 0.3828, 0.1654)
F (0.4678, 0.6222, 0.7440)
F (0.4584, 0.5493, 0.3514)
F (0.4584, 0.0493, 0.1486)
F (0.7244, 0.2507, 0.9279)
F (0.5416, 0.4507, 0.6486)
F (0.6115, 0.9169, 0.0635)
F (0.5322, 0.3778, 0.2560)
F (0.8792, 0.0671, 0.0777)
F (0.8792, 0.5671, 0.4223)
F (0.6674, 0.7390, 0.3521)
F (0.7782, 0.2616, 0.5527)
F (0.2307, 0.2223, 0.2393)
F (0.7782, 0.7616, 0.9473)
F (0.0239, 0.9224, 0.1408)
F (0.9026, 0.6172, 0.8346)
F (0.2218, 0.7384, 0.4473)
F (0.9382, 0.0883, 0.4565)
F (0.9184, 0.0732, 0.2651)
F (0.9026, 0.1172, 0.6654)
F (0.1868, 0.7668, 0.6580)
F (0.1208, 0.9329, 0.9223)
F (0.7693, 0.7777, 0.7607)
F (0.6288, 0.9169, 0.6550)
F (0.1868, 0.2668, 0.8420)
F (0.5416, 0.9507, 0.8514)
F (0.9761, 0.0776, 0.8592)
F (0.0816, 0.9268, 0.7349)
F (0.9382, 0.5883, 0.0435)
F (0.0239, 0.4224, 0.3592)
F (0.5510, 0.4043, 0.0645)
F (0.7693, 0.2777, 0.7393)
F (0.9184, 0.5732, 0.2349)
F (0.4678, 0.1222, 0.7560)
F (0.3326, 0.2610, 0.6479)
F (0.7244, 0.7507, 0.5721)
F (0.6674, 0.2390, 0.1479)
F (0.2307, 0.7223, 0.2607)
F (0.0618, 0.4117, 0.9565)
F (0.3885, 0.0831, 0.9365)
F (0.9761, 0.5776, 0.6408)
F (0.3712, 0.0831, 0.3450)
F (0.3712, 0.5831, 0.1550)
F (0.6115, 0.4169, 0.4365)
F (0.4490, 0.0957, 0.5645)
F (0.1208, 0.4329, 0.5777)
F (0.2756, 0.7493, 0.0721)
F (0.8132, 0.2332, 0.3420)
F (0.2756, 0.2493, 0.4279)

Density functional theory data (meta-GGA SCAN) for YRe4Br at its PBEsol-relaxed geometry.

Values from the calculation:
Its total magnetization is 0.0 μB/f.u. The calculation puts the volume at 17.69 Å³/atom. The energy relative to the elements, uncorrected is 0.67 eV per atom.

a = 5.3147 Å, b = 5.3147 Å, c = 5.3147 Å
α = 60.00°, β = 60.00°, γ = 60.00°
Atoms (fractional coordinates):
Br (0.0000, 0.0000, 0.0000)
Re (0.3744, 0.3744, 0.3744)
Re (0.3744, 0.3744, 0.8768)
Re (0.8768, 0.3744, 0.3744)
Re (0.3744, 0.8768, 0.3744)
Y (0.7500, 0.7500, 0.7500)